[1]
Material: ZnAs2Br
Method: DFT, PBEsol
State: optimized geometry

The space group is Imm2 (No. 44) and the conventional cell measures 3.507, 3.524 and 14.887 Å, with angles of 90.00, 90.00 and 90.00 degrees. The distinct sites, in fractional coordinates, are Zn at (0.000, 0.000, 0.000), As at (0.000, 0.000, 0.582), As at (0.000, 0.500, 0.196) and Br at (0.000, 0.500, 0.881).

As for the raw formation energy: -0.013 eV per atom.

=====

[2]
Material: Cd2Se
Method: DFT, PBEsol
State: optimized geometry

The space group is P-3m1 (No. 164) and the conventional cell measures 3.8736, 3.8736 and 5.3207 Å, with angles of 90.00, 90.00 and 120.00 degrees. The distinct sites, in fractional coordinates, are Cd at (0.3333, 0.6667, 0.3138) and Se at (0.0000, 0.0000, 0.0000).

As for the raw formation energy: -0.237 eV per atom.

=====

[3]
Material: TaFeAg2
Method: DFT, PBEsol
State: optimized geometry

The space group is F-43m (No. 216) and the conventional cell measures 6.255, 6.255 and 6.255 Å, with angles of 90.00, 90.00 and 90.00 degrees. The distinct sites, in fractional coordinates, are Ta at (0.000, 0.000, 0.000), Fe at (0.250, 0.250, 0.250), Ag at (0.000, 0.000, 0.500) and Ag at (0.250, 0.250, 0.750).

The value obtained for the formation energy is 0.4257 eV/atom.

=====

[4]
Material: Nb12Sn3Sb
Method: DFT, PBEsol
State: optimized geometry

The space group is Pmmm (No. 47) and the conventional cell measures 5.265, 5.268 and 10.543 Å, with angles of 90.00, 90.00 and 90.00 degrees. The distinct sites, in fractional coordinates, are Nb at (0.000, 0.000, 0.124), Nb at (0.000, 0.000, 0.376), Nb at (0.248, 0.500, 0.249), Nb at (0.500, 0.251, 0.000), Nb at (0.500, 0.251, 0.500), Sn at (0.000, 0.500, 0.500), Sn at (0.500, 0.000, 0.250) and Sb at (0.000, 0.500, 0.000).

As for the raw formation energy: -0.244 eV per atom.

=====

[5]
Material: Ba2ZrRu
Method: DFT, PBEsol
State: optimized geometry

The space group is Imm2 (No. 44) and the conventional cell measures 3.706, 5.945 and 11.492 Å, with angles of 90.00, 90.00 and 90.00 degrees. The distinct sites, in fractional coordinates, are Ba at (0.000, 0.000, 0.000), Ba at (0.000, 0.500, 0.194), Zr at (0.000, 0.000, 0.378) and Ru at (0.000, 0.500, 0.740).

The value obtained for the formation energy is 0.2927 eV/atom.

=====

[6]
Material: IrRuPt
Method: DFT, PBEsol
State: optimized geometry

The space group is P3m1 (No. 156) and the conventional cell measures 2.7088, 2.7088 and 6.6649 Å, with angles of 90.00, 90.00 and 120.00 degrees. The distinct sites, in fractional coordinates, are Ir at (0.0000, 0.0000, 0.0000), Ru at (0.6667, 0.3333, 0.3138) and Pt at (0.3333, 0.6667, 0.6509).

The value obtained for the formation energy is 0.0070 eV/atom.

=====

[7]
Material: Mg2CrIn3S8
Method: DFT, PBEsol
State: optimized geometry

The space group is R-3m (No. 166, hexagonal axes) and the conventional cell measures 7.5037, 7.5037 and 18.2605 Å, with angles of 90.00, 90.00 and 120.00 degrees. The distinct sites, in fractional coordinates, are Mg at (0.0000, 0.0000, 0.1247), Cr at (0.0000, 0.0000, 0.5000), In at (0.0000, 0.5000, 0.0000), S at (0.0000, 0.0000, 0.2573) and S at (0.0329, 0.5164, 0.2455).

As for the raw formation energy: -0.835 eV per atom.

=====

[8]
Material: CaRh2W
Method: DFT, PBEsol
State: optimized geometry

The space group is Pm (No. 6) and the conventional cell measures 2.831, 4.706 and 4.811 Å, with angles of 90.00, 93.05 and 90.00 degrees. The distinct sites, in fractional coordinates, are Ca at (0.000, 0.000, 0.000), Rh at (0.499, 0.500, 0.068), Rh at (0.542, 0.000, 0.489) and W at (0.089, 0.500, 0.563).

The value obtained for the formation energy is 0.0451 eV/atom.

=====

Record-wise spin magnetization values, in μB/f.u.: 0.0; 0.0; 1.5; 0.0; 0.0; 0.0; 3.0; 0.0